Below is a relaxed LaPuZn2 crystal, with properties calculated at the GGA-PBE level.

Results
DFT total energy = -5.6107 eV/atom
symmetry = P4/mmm
formation energy = -0.6 eV per formula unit

```
4
Lattice="3.678 0.000 0.000 0.000 3.678 0.000 0.000 0.000 7.265" Properties=species:S:1:pos:R:3 pbc="T T T"
La 0.000 0.000 0.000
Pu 0.000 0.000 3.632
Zn 1.839 1.839 1.925
Zn 1.839 1.839 5.340
```

---

Below is a relaxed Ho3Hg2BRu3 crystal, with properties calculated at the GGA-PBE level.

Results
DFT total energy = -5.7603 eV/atom
symmetry = P-62m
formation energy = -3.0 eV per formula unit

```
9
Lattice="7.629 0.000 0.000 -3.814 6.607 0.000 0.000 0.000 3.384" Properties=species:S:1:pos:R:3 pbc="T T T"
Ho -2.502 4.333 0.000
Ho 1.313 2.274 0.000
Ho 5.003 0.000 0.000
Hg 0.000 4.405 1.692
Hg 3.814 2.202 1.692
B 0.000 0.000 0.000
Ru -0.821 1.422 1.692
Ru 1.642 0.000 1.692
Ru 2.993 5.185 1.692
```

---

Below is a relaxed KLiBeSn2 crystal, with properties calculated at the GGA-PBE level.

Results
DFT total energy = -2.3228 eV/atom
symmetry = P4/mmm
formation energy = 3.1 eV per formula unit

```
5
Lattice="5.057 0.000 0.000 0.000 5.057 0.000 0.000 0.000 5.306" Properties=species:S:1:pos:R:3 pbc="T T T"
K 0.000 0.000 0.000
Li 0.000 0.000 2.653
Be 2.528 2.528 0.000
Sn 0.000 2.528 2.653
Sn 2.528 0.000 2.653
```

---

Below is a relaxed VHgS2 crystal, with properties calculated at the GGA-PBE level.

Results
DFT total energy = -4.8051 eV/atom
symmetry = P2_1/c
ΔE_f (raw) = -386 meV/atom

```
16
Lattice="6.795 0.000 0.000 0.000 5.382 0.000 -6.343 0.000 10.034" Properties=species:S:1:pos:R:3 pbc="T T T"
V -1.584 0.006 2.508
V -4.756 2.685 7.525
V 5.208 2.697 2.509
V 2.037 5.376 7.526
Hg -5.284 1.341 9.922
Hg -2.112 1.350 4.905
Hg 2.565 4.032 5.129
Hg 5.736 4.041 0.112
S -2.834 1.338 7.330
S 0.338 1.353 2.313
S -3.621 4.031 8.970
S -0.449 4.042 3.953
S 0.902 1.340 6.082
S 4.073 1.351 1.064
S 0.115 4.029 7.721
S 3.286 4.044 2.704
```